1.
Nb2TeAs2 | PBEsol | relaxed

a b c (Å): 7.322 7.322 7.322
angles (deg): 150.48 150.48 42.24
Fractional coordinates of all 5 atoms:
Nb: 0.112 0.112 0.000
Nb: 0.888 0.888 0.000
Te: 0.500 0.500 0.000
As: 0.250 0.750 0.500
As: 0.750 0.250 0.500

Properties
energy relative to the elements, uncorrected = -0.136 eV per atom
SG = No. 139
ρ = 8.09 g/cm3

=====

2.
Ni2RuCl | PBEsol | relaxed

a b c (Å): 2.727 2.727 6.768
angles (deg): 90.00 90.00 90.00
Fractional coordinates of all 4 atoms:
Ni: 0.000 0.000 0.246
Ni: 0.000 0.000 0.754
Ru: 0.500 0.500 0.000
Cl: 0.500 0.500 0.500

Properties
energy relative to the elements, uncorrected = 0.354 eV per atom
SG = No. 123
ρ = 8.38 g/cm3
energy above the most stable polymorph in this dataset = 0 meV/atom

=====

3.
CrCoRh | PBEsol | relaxed

a b c (Å): 4.425 4.425 4.425
angles (deg): 146.36 133.01 59.03
Fractional coordinates of all 3 atoms:
Cr: 0.000 0.000 0.000
Co: 0.344 0.344 0.000
Rh: 0.671 0.671 0.000

Properties
SG = No. 44
calculated formation energy = 1.3 kJ per mole of atoms
ρ = 10.20 g/cm3
energy above the most stable polymorph in this dataset = 0 meV/atom

=====

4.
Be2CuNi | PBEsol | relaxed

a b c (Å): 2.581 2.581 5.433
angles (deg): 90.00 90.00 90.00
Fractional coordinates of all 4 atoms:
Be: 0.000 0.000 0.235
Be: 0.000 0.000 0.765
Cu: 0.500 0.500 0.500
Ni: 0.500 0.500 0.000

Properties
SG = No. 123
calculated formation energy = -28.5 kJ per mole of atoms
ρ = 6.44 g/cm3

=====

5.
Ti2CuW | PBEsol | relaxed

a b c (Å): 4.361 4.361 4.361
angles (deg): 60.00 60.00 60.00
Fractional coordinates of all 4 atoms:
Ti: 0.250 0.250 0.250
Ti: 0.750 0.750 0.750
Cu: 0.000 0.000 0.000
W: 0.500 0.500 0.500

Properties
SG = No. 225
calculated formation energy = -2.7 kJ per mole of atoms
ρ = 9.72 g/cm3

=====

6.
LiMnTe3 | PBEsol | relaxed

a b c (Å): 5.008 5.008 5.008
angles (deg): 90.00 90.00 90.00
Fractional coordinates of all 5 atoms:
Li: 0.000 0.000 0.000
Mn: 0.500 0.500 0.500
Te: 0.000 0.000 0.500
Te: 0.000 0.500 0.000
Te: 0.500 0.000 0.000

Properties
energy relative to the elements, uncorrected = 0.506 eV per atom
SG = No. 221
ρ = 5.88 g/cm3

=====

7.
SrPd3N | PBEsol | relaxed

a b c (Å): 5.160 5.160 5.160
angles (deg): 90.00 90.00 90.00
Fractional coordinates of all 5 atoms:
Sr: 0.000 0.000 0.000
Pd: 0.000 0.000 0.500
Pd: 0.000 0.500 0.000
Pd: 0.500 0.000 0.000
N: 0.500 0.500 0.500

Properties
energy relative to the elements, uncorrected = 2.195 eV per atom
SG = No. 221
ρ = 5.09 g/cm3

=====

8.
Mg4Te3Se | PBEsol | relaxed

a b c (Å): 4.474 4.474 12.584
angles (deg): 90.00 90.00 90.00
Fractional coordinates of all 8 atoms:
Mg: 0.000 0.500 0.108
Mg: 0.000 0.500 0.631
Mg: 0.500 0.000 0.369
Mg: 0.500 0.000 0.892
Te: 0.000 0.000 0.238
Te: 0.000 0.000 0.762
Te: 0.500 0.500 0.500
Se: 0.500 0.500 0.000

Properties
energy relative to the elements, uncorrected = -0.908 eV per atom
SG = No. 115
ρ = 3.69 g/cm3

=====

9.
InHg2 | PBEsol | relaxed

a b c (Å): 4.812 4.812 4.812
angles (deg): 60.00 60.00 60.00
Fractional coordinates of all 3 atoms:
In: 0.000 0.000 0.000
Hg: 0.250 0.250 0.250
Hg: 0.750 0.750 0.750

Properties
SG = No. 225
calculated formation energy = 2.6 kJ per mole of atoms
ρ = 10.88 g/cm3

=====

10.
ReSb2As | PBEsol | relaxed

a b c (Å): 3.036 3.036 9.882
angles (deg): 90.00 90.00 115.97
Fractional coordinates of all 4 atoms:
Re: 0.000 0.000 0.000
Sb: 0.500 0.500 0.223
Sb: 0.500 0.500 0.777
As: 0.000 0.000 0.500

Properties
energy relative to the elements, uncorrected = 0.642 eV per atom
SG = No. 65
ρ = 10.24 g/cm3

=====

11.
KLiHo2Mo4O16 | PBEsol | relaxed

a b c (Å): 6.720 6.720 19.317
angles (deg): 91.37 91.37 135.00
Fractional coordinates of all 48 atoms:
K: 0.033 0.967 0.750
K: 0.967 0.033 0.250
Li: 0.315 0.685 0.750
Li: 0.685 0.315 0.250
Ho: 0.145 0.852 0.532
Ho: 0.148 0.855 0.968
Ho: 0.852 0.145 0.032
Ho: 0.855 0.148 0.468
Mo: 0.244 0.736 0.353
Mo: 0.264 0.756 0.147
Mo: 0.421 0.545 0.908
Mo: 0.455 0.579 0.592
Mo: 0.545 0.421 0.408
Mo: 0.579 0.455 0.092
Mo: 0.736 0.244 0.853
Mo: 0.756 0.264 0.647
O: 0.002 0.271 0.829
O: 0.054 0.581 0.433
O: 0.066 0.479 0.286
O: 0.098 0.403 0.131
O: 0.166 0.505 0.958
O: 0.219 0.257 0.537
O: 0.225 0.325 0.399
O: 0.257 0.219 0.037
O: 0.271 0.002 0.329
O: 0.293 0.474 0.670
O: 0.325 0.225 0.899
O: 0.403 0.098 0.631
O: 0.419 0.946 0.067
O: 0.474 0.293 0.170
O: 0.479 0.066 0.786
O: 0.495 0.834 0.542
O: 0.505 0.166 0.458
O: 0.521 0.934 0.214
O: 0.526 0.707 0.830
O: 0.581 0.054 0.933
O: 0.597 0.902 0.369
O: 0.675 0.775 0.101
O: 0.707 0.526 0.330
O: 0.729 0.998 0.671
O: 0.743 0.781 0.963
O: 0.775 0.675 0.601
O: 0.781 0.743 0.463
O: 0.834 0.495 0.042
O: 0.902 0.597 0.869
O: 0.934 0.521 0.714
O: 0.946 0.419 0.567
O: 0.998 0.729 0.171

Properties
energy relative to the elements, uncorrected = -2.456 eV per atom
SG = No. 15
ρ = 5.48 g/cm3

=====

12.
TlHg3 | PBEsol | relaxed

a b c (Å): 3.322 4.616 6.508
angles (deg): 90.00 90.00 90.00
Fractional coordinates of all 4 atoms:
Tl: 0.000 0.000 0.000
Hg: 0.000 0.000 0.500
Hg: 0.500 0.500 0.260
Hg: 0.500 0.500 0.740

Properties
SG = No. 47
calculated formation energy = -2.0 kJ per mole of atoms
ρ = 13.41 g/cm3

=====

ρ of number 3 (CrCoRh)?
10.20 g/cm3

=====

Number 9 is which compound?
InHg2

=====

Among the records above, which one has the lowest ρ?
Mg4Te3Se